*a*
A geometry-optimized Dy6Ho2Tl structure, computed with PBE.

M_tot: 0.00 μB/f.u.
space-group type: C2/c
crystal system: monoclinic

Cell: 6.185 11.710 10.911 Å, 46.39 106.48 105.32°
Positions (direct):
1 Dy 0.500 0.418 0.909
2 Dy 0.173 0.082 0.591
3 Dy 0.500 0.582 0.091
4 Dy 0.741 0.971 0.811
5 Dy 0.040 0.471 0.311
6 Dy 0.724 0.136 0.972
7 Dy 0.259 0.029 0.189
8 Dy 0.827 0.918 0.409
9 Dy 0.960 0.529 0.689
10 Dy 0.617 0.364 0.528
11 Dy 0.276 0.864 0.028
12 Dy 0.383 0.636 0.472
13 Ho 0.392 0.805 0.641
14 Ho 0.053 0.305 0.141
15 Ho 0.947 0.695 0.859
16 Ho 0.608 0.195 0.359
17 Tl 0.835 0.750 0.250
18 Tl 0.165 0.250 0.750


*b*
A geometry-optimized Dy6Ho2Tl structure, computed with PBE.

M_tot: 0.00 μB/f.u.
space-group type: P4_2/mnm
crystal system: tetragonal

Cell: 4.873 10.597 10.594 Å, 90.00 89.98 90.00°
Positions (direct):
1 Dy 0.500 0.838 0.338
2 Dy 0.000 0.336 0.500
3 Dy 0.000 0.664 0.500
4 Dy 0.500 0.164 0.000
5 Dy 0.500 0.500 0.664
6 Dy 0.500 0.836 0.000
7 Dy 0.000 0.000 0.164
8 Dy 0.000 0.338 0.162
9 Dy 0.000 0.662 0.838
10 Dy 0.500 0.500 0.336
11 Dy 0.500 0.162 0.662
12 Dy 0.000 0.000 0.836
13 Tl 0.500 0.500 0.000
14 Tl 0.000 0.000 0.500
15 Ho 0.000 0.662 0.163
16 Ho 0.000 0.338 0.837
17 Ho 0.500 0.838 0.663
18 Ho 0.500 0.162 0.337


Going by the computed energies, the most stable comes first: *a*, *b*.


*a*
A geometry-optimized Dy5Ho4Tl structure, computed with PBE.

M_tot: 0.00 μB/f.u.
space-group type: P4/mmm
crystal system: tetragonal

Cell: 3.544 3.544 24.355 Å, 90.00 90.00 90.00°
Positions (direct):
1 Dy 0.500 0.500 0.705
2 Dy 0.500 0.500 0.295
3 Dy 0.500 0.500 0.089
4 Dy 0.500 0.500 0.500
5 Dy 0.500 0.500 0.911
6 Ho 0.000 0.000 0.192
7 Ho 0.000 0.000 0.397
8 Ho 0.000 0.000 0.603
9 Ho 0.000 0.000 0.808
10 Tl 0.000 0.000 0.000


*b*
A geometry-optimized Dy5Ho4Tl structure, computed with PBE.

M_tot: 0.00 μB/f.u.
space-group type: I4mm
crystal system: tetragonal

Cell: 5.791 8.013 8.013 Å, 82.50 68.82 68.82°
Positions (direct):
1 Tl 0.182 0.000 0.000
2 Dy 0.140 0.628 0.000
3 Dy 0.768 0.372 0.000
4 Dy 0.140 0.000 0.628
5 Dy 0.768 0.000 0.372
6 Dy 0.663 0.000 0.000
7 Ho 0.781 0.682 0.682
8 Ho 0.145 0.318 0.318
9 Ho 0.463 0.318 0.682
10 Ho 0.463 0.682 0.318


Going by the computed energies, the most stable comes first: *a*, *b*.


*a*
A geometry-optimized DyHo6Tl structure, computed with PBE.

M_tot: 0.00 μB/f.u.
space-group type: C2/m
crystal system: monoclinic

Cell: 6.298 6.298 9.705 Å, 121.02 121.02 95.86°
Positions (direct):
1 Ho 0.633 0.255 0.779
2 Ho 0.042 0.042 0.701
3 Ho 0.367 0.745 0.221
4 Ho 0.745 0.367 0.221
5 Ho 0.958 0.958 0.299
6 Ho 0.255 0.633 0.779
7 Tl 0.000 0.000 0.000
8 Dy 0.500 0.500 0.500


*b*
A geometry-optimized DyHo6Tl structure, computed with PBE.

M_tot: 0.00 μB/f.u.
space-group type: P4/mmm
crystal system: tetragonal

Cell: 4.880 4.880 9.991 Å, 90.00 90.00 90.00°
Positions (direct):
1 Dy 0.000 0.000 0.500
2 Ho 0.500 0.500 0.500
3 Ho 0.500 0.000 0.246
4 Ho 0.500 0.500 0.000
5 Ho 0.500 0.000 0.754
6 Ho 0.000 0.500 0.246
7 Ho 0.000 0.500 0.754
8 Tl 0.000 0.000 0.000


Going by the computed energies, the most stable comes first: *b*, *a*.


*a*
A geometry-optimized Dy3Ho2Tl4 structure, computed with PBE.

M_tot: 0.00 μB/f.u.
space-group type: Cmce
crystal system: orthorhombic

Cell: 7.168 9.500 8.622 Å, 90.00 114.56 90.00°
Positions (direct):
1 Tl 0.763 0.250 0.025
2 Tl 0.737 0.750 0.975
3 Tl 0.694 0.533 0.388
4 Tl 0.263 0.250 0.025
5 Tl 0.237 0.750 0.975
6 Tl 0.194 0.967 0.388
7 Tl 0.306 0.467 0.612
8 Tl 0.806 0.033 0.612
9 Dy 0.000 0.000 0.000
10 Dy 0.462 0.250 0.423
11 Dy 0.962 0.250 0.423
12 Dy 0.538 0.750 0.577
13 Dy 0.500 0.500 0.000
14 Dy 0.038 0.750 0.577
15 Ho 0.391 0.059 0.783
16 Ho 0.109 0.559 0.217
17 Ho 0.891 0.441 0.783
18 Ho 0.609 0.941 0.217


*b*
A geometry-optimized Dy3Ho2Tl4 structure, computed with PBE.

M_tot: 0.00 μB/f.u.
space-group type: C2/m
crystal system: monoclinic

Cell: 4.836 6.667 9.505 Å, 117.74 104.75 90.00°
Positions (direct):
1 Dy 0.109 0.635 0.219
2 Dy 0.000 0.000 0.000
3 Dy 0.891 0.365 0.781
4 Ho 0.329 0.723 0.657
5 Ho 0.671 0.277 0.343
6 Tl 0.747 0.831 0.494
7 Tl 0.489 0.262 0.979
8 Tl 0.511 0.738 0.021
9 Tl 0.253 0.169 0.506


Going by the computed energies, the most stable comes first: *b*, *a*.


*a*
A geometry-optimized Dy2Ho8Tl structure, computed with PBE.

M_tot: 0.00 μB/f.u.
space-group type: C2/m
crystal system: monoclinic

Cell: 5.522 6.389 10.036 Å, 84.92 105.97 90.00°
Positions (direct):
1 Ho 0.045 0.732 0.090
2 Ho 0.154 0.197 0.308
3 Ho 0.955 0.268 0.910
4 Ho 0.579 0.402 0.157
5 Ho 0.421 0.598 0.843
6 Ho 0.846 0.803 0.692
7 Ho 0.662 0.877 0.324
8 Ho 0.338 0.123 0.676
9 Dy 0.756 0.335 0.513
10 Dy 0.244 0.665 0.487
11 Tl 0.500 0.000 0.000


*b*
A geometry-optimized Dy2Ho8Tl structure, computed with PBE.

M_tot: 0.00 μB/f.u.
space-group type: Immm
crystal system: orthorhombic

Cell: 5.389 7.488 9.743 Å, 112.60 106.06 90.00°
Positions (direct):
1 Ho 0.362 0.594 0.724
2 Ho 0.638 0.870 0.276
3 Ho 0.000 0.261 0.000
4 Ho 0.182 0.182 0.365
5 Ho 0.362 0.130 0.724
6 Ho 0.818 0.818 0.635
7 Ho 0.638 0.406 0.276
8 Ho 0.000 0.739 0.000
9 Dy 0.193 0.693 0.387
10 Dy 0.807 0.307 0.613
11 Tl 0.500 0.000 0.000


Going by the computed energies, the most stable comes first: *a*, *b*.


*a*
A geometry-optimized DyHo3Tl3 structure, computed with PBE.

M_tot: 0.00 μB/f.u.
space-group type: P2_13
crystal system: cubic

Cell: 9.305 9.305 9.305 Å, 90.00 90.00 90.00°
Positions (direct):
1 Ho 0.926 0.926 0.926
2 Ho 0.323 0.177 0.823
3 Ho 0.177 0.177 0.177
4 Ho 0.426 0.574 0.074
5 Ho 0.823 0.677 0.323
6 Ho 0.823 0.323 0.177
7 Ho 0.177 0.823 0.323
8 Ho 0.323 0.823 0.677
9 Ho 0.677 0.677 0.677
10 Ho 0.677 0.323 0.823
11 Ho 0.574 0.074 0.426
12 Ho 0.074 0.426 0.574
13 Tl 0.749 0.624 0.000
14 Tl 0.000 0.249 0.876
15 Tl 0.251 0.124 0.500
16 Tl 0.124 0.500 0.251
17 Tl 0.000 0.749 0.624
18 Tl 0.376 0.500 0.751
19 Tl 0.500 0.751 0.376
20 Tl 0.876 0.000 0.249
21 Tl 0.249 0.876 0.000
22 Tl 0.751 0.376 0.500
23 Tl 0.624 0.000 0.749
24 Tl 0.500 0.251 0.124
25 Dy 0.073 0.573 0.927
26 Dy 0.927 0.073 0.573
27 Dy 0.427 0.427 0.427
28 Dy 0.573 0.927 0.073


*b*
A geometry-optimized DyHo3Tl3 structure, computed with PBE.

M_tot: 0.00 μB/f.u.
space-group type: P6_3/m
crystal system: hexagonal

Cell: 5.223 9.364 9.364 Å, 120.00 90.00 90.00°
Positions (direct):
1 Tl 0.750 0.623 0.550
2 Tl 0.750 0.450 0.073
3 Tl 0.750 0.927 0.377
4 Tl 0.250 0.073 0.623
5 Tl 0.250 0.377 0.450
6 Tl 0.250 0.550 0.927
7 Dy 0.750 0.333 0.667
8 Dy 0.250 0.667 0.333
9 Ho 0.750 0.231 0.234
10 Ho 0.250 0.997 0.231
11 Ho 0.250 0.769 0.766
12 Ho 0.250 0.234 0.003
13 Ho 0.750 0.766 0.997
14 Ho 0.750 0.003 0.769


Going by the computed energies, the most stable comes first: *a*, *b*.